1.
DFT (PBE) results for CsPuCd2Bi2 after structural relaxation.

Unit cell a=5.1884 b=5.1884 c=9.4778 alpha=90.00 beta=90.00 gamma=120.00
Last column: nearest neighbours and their distance in Å.
Positions (direct):
Cs1 0.0000 0.0000 0.0000  6 Bi 4.07, 6 Cd 4.50
Pu1 0.0000 0.0000 0.5000  6 Cd 3.30, 6 Bi 3.60
Cd1 0.3333 0.6667 0.6450  4 Bi 3.06-3.36, 3 Pu 3.30
Cd2 0.6667 0.3333 0.3550  4 Bi 3.06-3.36, 3 Pu 3.30
Bi1 0.3333 0.6667 0.2902  4 Cd 3.06-3.36
Bi2 0.6667 0.3333 0.7098  4 Cd 3.06-3.36

Values from the calculation:
ΔE_f: -22.0 kJ per mole of atoms
E: -0.1601 Ha/atom

***

2.
DFT (PBE) results for Ac12In6Pb after structural relaxation.

Unit cell a=9.9111 b=9.9111 c=9.9111 alpha=109.47 beta=109.47 gamma=109.47
Last column: nearest neighbours and their distance in Å.
Positions (direct):
Ac1 0.1014 0.2877 0.8137  3 In 3.25-3.54
Ac2 0.1863 0.4739 0.2877  3 In 3.25-3.54
Ac3 0.1863 0.8986 0.7123  3 In 3.25-3.54
Ac4 0.2877 0.1863 0.4739  3 In 3.25-3.54
Ac5 0.2877 0.8137 0.1014  3 In 3.25-3.54
Ac6 0.4739 0.2877 0.1863  3 In 3.25-3.54
Ac7 0.5261 0.7123 0.8137  3 In 3.25-3.54
Ac8 0.7123 0.1863 0.8986  3 In 3.25-3.54
Ac9 0.7123 0.8137 0.5261  3 In 3.25-3.54
Ac10 0.8137 0.1014 0.2877  3 In 3.25-3.54
Ac11 0.8137 0.5261 0.7123  3 In 3.25-3.54
Ac12 0.8986 0.7123 0.1863  3 In 3.25-3.54
In1 0.1250 0.5000 0.6250  1 In 2.86
In2 0.3750 0.8750 0.5000  1 In 2.86
In3 0.5000 0.3750 0.8750  1 In 2.86
In4 0.5000 0.6250 0.1250  1 In 2.86
In5 0.6250 0.1250 0.5000  1 In 2.86
In6 0.8750 0.5000 0.3750  1 In 2.86
Pb1 0.0000 0.0000 0.0000  12 Ac 3.92

Values from the calculation:
ΔE_f: -23.5 kJ per mole of atoms
E: -0.1433 Ha/atom
Energy above the most stable polymorph in this dataset: 0 meV/atom

***

3.
DFT (PBE) results for SnBi4 after structural relaxation.

Unit cell a=5.7820 b=5.7820 c=5.7820 alpha=90.00 beta=90.00 gamma=90.00
Last column: nearest neighbours and their distance in Å.
Positions (direct):
Sn1 0.0000 0.0000 0.0000  6 Bi 2.89
Bi1 0.0000 0.0000 0.5000  2 Sn 2.89
Bi2 0.0000 0.5000 0.0000  2 Sn 2.89
Bi3 0.5000 0.0000 0.0000  2 Sn 2.89
Bi4 0.5000 0.5000 0.5000  12 Bi 4.09

Values from the calculation:
ΔE_f: 65.6 kJ per mole of atoms
E: -0.1185 Ha/atom

***

4.
DFT (PBE) results for ZnCd2Os after structural relaxation.

Unit cell a=3.1674 b=3.1674 c=7.1021 alpha=90.00 beta=90.00 gamma=90.00
Last column: nearest neighbours and their distance in Å.
Positions (direct):
Zn1 0.0000 0.0000 0.0000  4 Os 2.55
Cd1 0.0000 0.0000 0.5692  4 Os 2.90, 1 Zn 3.06, 8 Cd 3.13-3.17
Cd2 0.5000 0.5000 0.2619  4 Zn 2.91, 1 Os 3.08, 8 Cd 3.13-3.17
Os1 0.5000 0.5000 0.8278  4 Zn 2.55

Values from the calculation:
ΔE_f: 36.2 kJ per mole of atoms
E: -0.1179 Ha/atom

***

5.
DFT (PBE) results for Tl2Ga3 after structural relaxation.

Unit cell a=8.1380 b=6.0808 c=9.1652 alpha=60.58 beta=40.61 gamma=78.81
Last column: nearest neighbours and their distance in Å.
Positions (direct):
Tl1 0.1142 0.8858 0.2847  8 Ga 3.12-3.34
Tl2 0.5347 0.9653 0.3642  8 Ga 3.12-3.34
Tl3 0.8858 0.1142 0.7153  8 Ga 3.12-3.34
Tl4 0.9653 0.5347 0.1358  8 Ga 3.12-3.34
Ga1 0.1886 0.1886 0.8114  4 Ga 2.71-2.76
Ga2 0.4386 0.4386 0.0614  4 Ga 2.71-2.76
Ga3 0.4484 0.5475 0.3084  2 Ga 2.71-2.76
Ga4 0.5475 0.4484 0.6957  2 Ga 2.71-2.76
Ga5 0.5543 0.9416 0.7025  2 Ga 2.71-2.76
Ga6 0.9416 0.5543 0.8016  2 Ga 2.71-2.76

Values from the calculation:
ΔE_f: 6.7 kJ per mole of atoms
E: -0.0990 Ha/atom

***

6.
DFT (PBE) results for RuPb3F after structural relaxation.

Unit cell a=4.9305 b=4.9305 c=4.9305 alpha=90.00 beta=90.00 gamma=90.00
Last column: nearest neighbours and their distance in Å.
Positions (direct):
Ru1 0.0000 0.0000 0.0000  12 Pb 3.49
Pb1 0.0000 0.5000 0.5000  2 F 2.47
Pb2 0.5000 0.0000 0.5000  2 F 2.47
Pb3 0.5000 0.5000 0.0000  2 F 2.47
F1 0.5000 0.5000 0.5000  6 Pb 2.47

Values from the calculation:
E_form (uncorrected): 0.165 eV/atom
E: -0.1576 Ha/atom
Energy above the most stable polymorph in this dataset: 369 meV/atom

***

7.
DFT (PBE) results for NaCoI2N after structural relaxation.

Unit cell a=5.6894 b=5.6894 c=4.2845 alpha=90.00 beta=90.00 gamma=90.00
Last column: nearest neighbours and their distance in Å.
Positions (direct):
Na1 0.0000 0.0000 0.0000  2 N 2.14
Co1 0.5000 0.5000 0.5000  8 I 3.56
I1 0.0000 0.5000 0.0000  2 Na 2.84
I2 0.5000 0.0000 0.0000  2 Na 2.84
N1 0.0000 0.0000 0.5000  2 Na 2.14

Values from the calculation:
E_form (uncorrected): 1.563 eV/atom
E: -0.0885 Ha/atom
Energy above the most stable polymorph in this dataset: 1581 meV/atom

***

8.
DFT (PBE) results for TlPdF2 after structural relaxation.

Unit cell a=7.5958 b=7.5958 c=7.5958 alpha=27.21 beta=27.21 gamma=27.21
Last column: nearest neighbours and their distance in Å.
Positions (direct):
Tl1 0.0000 0.0000 0.0000  2 F 2.61
Pd1 0.5000 0.5000 0.5000  6 F 2.31
F1 0.1190 0.1190 0.1190  3 Pd 2.31
F2 0.8810 0.8810 0.8810  3 Pd 2.31

Values from the calculation:
E_form (uncorrected): -0.887 eV/atom
E: -0.1364 Ha/atom
Energy above the most stable polymorph in this dataset: 192 meV/atom

***

What did the second record say?
DFT (PBE) results for Ac12In6Pb after structural relaxation.

Unit cell a=9.9111 b=9.9111 c=9.9111 alpha=109.47 beta=109.47 gamma=109.47
Last column: nearest neighbours and their distance in Å.
Positions (direct):
Ac1 0.1014 0.2877 0.8137  3 In 3.25-3.54
Ac2 0.1863 0.4739 0.2877  3 In 3.25-3.54
Ac3 0.1863 0.8986 0.7123  3 In 3.25-3.54
Ac4 0.2877 0.1863 0.4739  3 In 3.25-3.54
Ac5 0.2877 0.8137 0.1014  3 In 3.25-3.54
Ac6 0.4739 0.2877 0.1863  3 In 3.25-3.54
Ac7 0.5261 0.7123 0.8137  3 In 3.25-3.54
Ac8 0.7123 0.1863 0.8986  3 In 3.25-3.54
Ac9 0.7123 0.8137 0.5261  3 In 3.25-3.54
Ac10 0.8137 0.1014 0.2877  3 In 3.25-3.54
Ac11 0.8137 0.5261 0.7123  3 In 3.25-3.54
Ac12 0.8986 0.7123 0.1863  3 In 3.25-3.54
In1 0.1250 0.5000 0.6250  1 In 2.86
In2 0.3750 0.8750 0.5000  1 In 2.86
In3 0.5000 0.3750 0.8750  1 In 2.86
In4 0.5000 0.6250 0.1250  1 In 2.86
In5 0.6250 0.1250 0.5000  1 In 2.86
In6 0.8750 0.5000 0.3750  1 In 2.86
Pb1 0.0000 0.0000 0.0000  12 Ac 3.92

Values from the calculation:
ΔE_f: -23.5 kJ per mole of atoms
E: -0.1433 Ha/atom
Energy above the most stable polymorph in this dataset: 0 meV/atom

***

> Among the records above, which one has the highest E?

NaCoI2N

***

> The highest E belongs to which entry?

NaCoI2N